1.
VASP calculation (GGA-PBEsol) on an optimized crystal structure of TbPO4.

Calculated values
- SG: I4_1/amd (141)

Cell: 5.737 5.737 5.737 Å, 106.00 106.00 116.67°
Atoms (fractional coordinates):
Tb 0.375 0.625 0.750
Tb 0.625 0.375 0.250
P 0.125 0.875 0.250
P 0.875 0.125 0.750
O 0.140 0.715 0.425
O 0.211 0.285 0.925
O 0.285 0.211 0.425
O 0.285 0.860 0.075
O 0.715 0.140 0.925
O 0.715 0.789 0.575
O 0.789 0.715 0.075
O 0.860 0.285 0.575

---

2.
VASP calculation (GGA-PBEsol) on an optimized crystal structure of TbP3O9.

Calculated values
- SG: C2/c (15)

Cell: 13.315 13.315 10.101 Å, 96.00 96.00 61.23°
Atoms (fractional coordinates):
Tb 0.018 0.748 0.731
Tb 0.244 0.490 0.264
Tb 0.252 0.982 0.769
Tb 0.490 0.244 0.764
Tb 0.510 0.756 0.236
Tb 0.748 0.018 0.231
Tb 0.756 0.510 0.736
Tb 0.982 0.252 0.269
P 0.046 0.954 0.250
P 0.049 0.461 0.712
P 0.155 0.229 0.565
P 0.159 0.739 0.072
P 0.221 0.352 0.933
P 0.229 0.155 0.065
P 0.261 0.841 0.428
P 0.277 0.641 0.553
P 0.352 0.221 0.433
P 0.359 0.723 0.947
P 0.461 0.049 0.212
P 0.471 0.529 0.750
P 0.529 0.471 0.250
P 0.539 0.951 0.788
P 0.641 0.277 0.053
P 0.648 0.779 0.567
P 0.723 0.359 0.447
P 0.739 0.159 0.572
P 0.771 0.845 0.935
P 0.779 0.648 0.067
P 0.841 0.261 0.928
P 0.845 0.771 0.435
P 0.951 0.539 0.288
P 0.954 0.046 0.750
O 0.044 0.065 0.234
O 0.052 0.233 0.485
O 0.060 0.564 0.686
O 0.065 0.044 0.734
O 0.068 0.530 0.302
O 0.098 0.429 0.862
O 0.104 0.729 0.938
O 0.104 0.872 0.123
O 0.128 0.896 0.377
O 0.134 0.356 0.620
O 0.148 0.209 0.174
O 0.164 0.667 0.180
O 0.184 0.713 0.645
O 0.203 0.246 0.958
O 0.209 0.148 0.674
O 0.229 0.414 0.063
O 0.233 0.052 0.985
O 0.246 0.203 0.458
O 0.271 0.896 0.562
O 0.273 0.539 0.479
O 0.286 0.713 0.442
O 0.287 0.714 0.058
O 0.287 0.816 0.855
O 0.314 0.315 0.839
O 0.315 0.314 0.339
O 0.333 0.836 0.320
O 0.356 0.134 0.120
O 0.395 0.600 0.873
O 0.400 0.605 0.627
O 0.414 0.229 0.563
O 0.417 0.470 0.234
O 0.429 0.098 0.362
O 0.436 0.940 0.814
O 0.461 0.727 0.021
O 0.470 0.417 0.734
O 0.470 0.932 0.198
O 0.530 0.068 0.802
O 0.530 0.583 0.266
O 0.539 0.273 0.979
O 0.564 0.060 0.186
O 0.571 0.902 0.638
O 0.583 0.530 0.766
O 0.586 0.771 0.437
O 0.600 0.395 0.373
O 0.605 0.400 0.127
O 0.644 0.866 0.880
O 0.667 0.164 0.680
O 0.685 0.686 0.661
O 0.686 0.685 0.161
O 0.713 0.184 0.145
O 0.713 0.286 0.942
O 0.714 0.287 0.558
O 0.727 0.461 0.521
O 0.729 0.104 0.438
O 0.754 0.797 0.542
O 0.767 0.948 0.015
O 0.771 0.586 0.937
O 0.791 0.852 0.326
O 0.797 0.754 0.042
O 0.816 0.287 0.355
O 0.836 0.333 0.820
O 0.852 0.791 0.826
O 0.866 0.644 0.380
O 0.872 0.104 0.623
O 0.896 0.128 0.877
O 0.896 0.271 0.062
O 0.902 0.571 0.138
O 0.932 0.470 0.698
O 0.935 0.956 0.266
O 0.940 0.436 0.314
O 0.948 0.767 0.515
O 0.956 0.935 0.766

---

3.
VASP calculation (GGA-PBEsol) on an optimized crystal structure of ZnTcP2O.

Calculated values
- SG: P4/mmm (123)

Cell: 4.718 4.718 3.626 Å, 90.00 90.00 90.00°
Atoms (fractional coordinates):
Zn 0.000 0.000 0.000
Tc 0.500 0.500 0.500
P 0.000 0.500 0.500
P 0.500 0.000 0.500
O 0.500 0.500 0.000

---

4.
VASP calculation (GGA-PBEsol) on an optimized crystal structure of TePO3.

Calculated values
- SG: Pm-3m (221)

Cell: 4.070 4.070 4.070 Å, 90.00 90.00 90.00°
Atoms (fractional coordinates):
Te 0.000 0.000 0.000
P 0.500 0.500 0.500
O 0.000 0.000 0.500
O 0.000 0.500 0.000
O 0.500 0.000 0.000

---

5.
VASP calculation (GGA-PBEsol) on an optimized crystal structure of TeP2O2.

Calculated values
- SG: P4/mmm (123)

Cell: 3.685 3.685 5.260 Å, 90.00 90.00 90.00°
Atoms (fractional coordinates):
Te 0.000 0.000 0.000
P 0.000 0.500 0.500
P 0.500 0.000 0.500
O 0.500 0.500 0.000
O 0.500 0.500 0.500

---

6.
VASP calculation (GGA-PBEsol) on an optimized crystal structure of Te2PO7.

Calculated values
- SG: Pca2_1 (29)

Cell: 9.050 7.171 8.415 Å, 90.00 90.00 90.00°
Atoms (fractional coordinates):
Te 0.152 0.222 0.000
Te 0.201 0.857 0.703
Te 0.299 0.857 0.203
Te 0.348 0.222 0.500
Te 0.652 0.778 0.000
Te 0.701 0.143 0.703
Te 0.799 0.143 0.203
Te 0.848 0.778 0.500
P 0.056 0.461 0.310
P 0.444 0.461 0.810
P 0.556 0.539 0.310
P 0.944 0.539 0.810
O 0.005 0.905 0.627
O 0.056 0.669 0.359
O 0.105 0.608 0.805
O 0.130 0.457 0.141
O 0.141 0.338 0.430
O 0.178 0.949 0.918
O 0.223 0.133 0.669
O 0.277 0.133 0.169
O 0.322 0.949 0.418
O 0.359 0.338 0.930
O 0.370 0.457 0.641
O 0.395 0.608 0.305
O 0.444 0.669 0.859
O 0.495 0.905 0.127
O 0.505 0.095 0.627
O 0.556 0.331 0.359
O 0.605 0.392 0.805
O 0.630 0.543 0.141
O 0.641 0.662 0.430
O 0.678 0.051 0.918
O 0.723 0.867 0.669
O 0.777 0.867 0.169
O 0.822 0.051 0.418
O 0.859 0.662 0.930
O 0.870 0.543 0.641
O 0.895 0.392 0.305
O 0.944 0.331 0.859
O 0.995 0.095 0.127

---

Density of states at the Fermi level, respectively: 0.00; 0.00; 2.09; 2.41; 1.84; 3.75 states/eV/f.u..
Raw formation energy, respectively: -298; -245; -7; 6; 38; -129 kJ/mol of atoms.